First-principles (PBE-GGA) data for LiSi2Os after structural relaxation, as listed in Alexandria via LeMat-Bulk.

a b c (Å): 9.060 2.928 4.067
angles (deg): 90.00 92.36 90.00
Space group Cm (No. 8)
Unique sites:
Li 0.000 0.000 0.000 [2 per cell]
Si 0.069 0.500 0.496 [2 per cell]
Si 0.237 0.500 0.935 [2 per cell]
Os 0.295 0.000 0.413 [2 per cell]

Values from the calculation:
D(E_F): 0.09 states/eV per atom
Theoretical density: 7.8 g cm⁻³
Energy relative to the elements, uncorrected: -0.72 eV/f.u.

***

First-principles (PBE-GGA) data for La3Pr2Sn4 after structural relaxation, as listed in Alexandria via LeMat-Bulk.

a b c (Å): 7.300 17.836 9.321
angles (deg): 90.00 90.00 90.00
Space group Cmce (No. 64)
Unique sites:
La 0.000 0.000 0.000 [4 per cell]
La 0.250 0.207 0.250 [8 per cell]
Pr 0.000 0.108 0.590 [8 per cell]
Sn 0.000 0.183 0.942 [8 per cell]
Sn 0.250 0.029 0.250 [8 per cell]

Values from the calculation:
D(E_F): 0.75 states/eV per atom
DFT formation energy: -0.570 eV/atom
Theoretical density: 6.4 g cm⁻³

***

> D(E_F) of number 2 (La3Pr2Sn4)?

0.75 states/eV per atom

***

Please write out number 1 again, unchanged.
First-principles (PBE-GGA) data for LiSi2Os after structural relaxation, as listed in Alexandria via LeMat-Bulk.

a b c (Å): 9.060 2.928 4.067
angles (deg): 90.00 92.36 90.00
Space group Cm (No. 8)
Unique sites:
Li 0.000 0.000 0.000 [2 per cell]
Si 0.069 0.500 0.496 [2 per cell]
Si 0.237 0.500 0.935 [2 per cell]
Os 0.295 0.000 0.413 [2 per cell]

Values from the calculation:
D(E_F): 0.09 states/eV per atom
Theoretical density: 7.8 g cm⁻³
Energy relative to the elements, uncorrected: -0.72 eV/f.u.